# 1
! Na2NpBeS4 GGA-PBE optimized geometry; values from VASP
! - Symmetry: C2/c
! - Volume: 344 Å³/cell
! - Formation energy (no corrections): -1020.3 meV per atom
&SYSTEM
  ibrav = 0, nat = 16, ntyp = 4
/
ATOMIC_SPECIES
Na 22.99 Na.upf
Np 237.00 Np.upf
Be 9.01 Be.upf
S 32.06 S.upf
ATOMIC_POSITIONS crystal
Na 0.000 0.000 0.000
Na 0.000 0.000 0.500
Na 0.000 0.500 0.000
Na 0.500 0.000 0.500
Np 0.000 0.500 0.500
Np 0.500 0.000 0.000
Be 0.500 0.500 0.000
Be 0.500 0.500 0.500
S 0.230 0.745 0.967
S 0.255 0.770 0.533
S 0.290 0.309 0.482
S 0.309 0.290 0.982
S 0.691 0.710 0.018
S 0.710 0.691 0.518
S 0.745 0.230 0.467
S 0.770 0.255 0.033
CELL_PARAMETERS angstrom
5.282 -5.624 0.000
5.282 5.624 0.000
-5.091 0.000 5.794

# 2
! Cd2TeCl GGA-PBE optimized geometry; values from VASP
! - Symmetry: P2/m
! - Volume: 113 Å³/cell
! - Formation energy (no corrections): -328.5 meV per atom
! - ΔE to the lowest computed polymorph: 138 meV/atom
&SYSTEM
  ibrav = 0, nat = 4, ntyp = 3
/
ATOMIC_SPECIES
Cd 112.41 Cd.upf
Te 127.60 Te.upf
Cl 35.45 Cl.upf
ATOMIC_POSITIONS crystal
Cd 0.001 0.000 0.290
Cd 0.999 0.000 0.710
Te 0.500 0.500 0.500
Cl 0.000 0.500 0.000
CELL_PARAMETERS angstrom
4.081 0.000 0.000
0.000 3.877 0.000
-0.008 0.000 7.160